No. 1
This record from Alexandria via LeMat-Bulk describes a geometry-optimized PrDyHg5 structure. The functional is GGA-PBE.

Summary:
- DFT formation energy: -1.95 eV per formula unit
- Space-group type: Cmmm
- Calculated volume: 27.4 A^3/atom
- D(E_F): 0.7472 states/eV per atom
- Final energy: -1.8351 eV/atom

abc: 4.6311 4.6311 8.9346
angles: 90.00 90.00 90.27
Closest atoms and distances in Å follow each position.
Sites, in units of the cell vectors:
Pr (0.0000, 0.0000, 0.0000)  8 Hg 3.21
Dy (0.5000, 0.5000, 0.5000)  12 Hg 3.23-3.28
Hg (0.0000, 0.0000, 0.5000)  8 Hg 3.23, 4 Dy 3.27-3.28
Hg (0.0000, 0.5000, 0.2486)  2 Pr 3.21, 6 Hg 3.23-3.28, 2 Dy 3.23
Hg (0.0000, 0.5000, 0.7514)  2 Pr 3.21, 6 Hg 3.23-3.28, 2 Dy 3.23
Hg (0.5000, 0.0000, 0.2486)  2 Pr 3.21, 6 Hg 3.23-3.28, 2 Dy 3.23
Hg (0.5000, 0.0000, 0.7514)  2 Pr 3.21, 6 Hg 3.23-3.28, 2 Dy 3.23

***

No. 2
This record from Alexandria via LeMat-Bulk describes a geometry-optimized BaCuS2 structure. The functional is GGA-PBE.

Summary:
- Space-group type: I-42d
- Calculated volume: 23.3 A^3/atom
- Formation energy (no corrections): -1.0793 eV per atom
- D(E_F): 0.0216 states/eV per atom
- Final energy: -4.6478 eV/atom

abc: 6.2346 6.2346 6.2346
angles: 109.44 109.44 109.53
Closest atoms and distances in Å follow each position.
Sites, in units of the cell vectors:
Ba (0.0000, 0.0000, 0.0000)  8 S 3.23-3.42, 2 Cu 3.60
Ba (0.7500, 0.2500, 0.5000)  8 S 3.23-3.42, 2 Cu 3.60
Cu (0.2500, 0.7500, 0.5000)  4 S 2.28
Cu (0.5000, 0.5000, 0.0000)  4 S 2.28
S (0.2253, 0.1250, 0.6003)  2 Cu 2.28
S (0.3750, 0.7747, 0.8997)  2 Cu 2.28
S (0.5247, 0.6250, 0.3997)  2 Cu 2.28
S (0.8750, 0.4753, 0.1003)  2 Cu 2.28

***

The lowest final energy belongs to which entry?
BaCuS2

***

Copy entry 1 word for word.
This record from Alexandria via LeMat-Bulk describes a geometry-optimized PrDyHg5 structure. The functional is GGA-PBE.

Summary:
- DFT formation energy: -1.95 eV per formula unit
- Space-group type: Cmmm
- Calculated volume: 27.4 A^3/atom
- D(E_F): 0.7472 states/eV per atom
- Final energy: -1.8351 eV/atom

abc: 4.6311 4.6311 8.9346
angles: 90.00 90.00 90.27
Closest atoms and distances in Å follow each position.
Sites, in units of the cell vectors:
Pr (0.0000, 0.0000, 0.0000)  8 Hg 3.21
Dy (0.5000, 0.5000, 0.5000)  12 Hg 3.23-3.28
Hg (0.0000, 0.0000, 0.5000)  8 Hg 3.23, 4 Dy 3.27-3.28
Hg (0.0000, 0.5000, 0.2486)  2 Pr 3.21, 6 Hg 3.23-3.28, 2 Dy 3.23
Hg (0.0000, 0.5000, 0.7514)  2 Pr 3.21, 6 Hg 3.23-3.28, 2 Dy 3.23
Hg (0.5000, 0.0000, 0.2486)  2 Pr 3.21, 6 Hg 3.23-3.28, 2 Dy 3.23
Hg (0.5000, 0.0000, 0.7514)  2 Pr 3.21, 6 Hg 3.23-3.28, 2 Dy 3.23

***

What is the calculated volume in the first record?
27.4 A^3/atom